No. 1
The following is a PBE-GGA calculation of a relaxed NaTa2CrP crystal, from the Alexandria database.

Cell: 4.7250 4.7250 4.3015 Å, 90.00 90.00 90.00°
Closest atoms and distances in Å follow each position.
Space group P4/mmm (No. 123)
Inequivalent atoms, fractional coordinates:
Na: 0.0000 0.0000 0.0000 x1  2 Cr 2.15, 4 Ta 2.36
Ta: 0.0000 0.5000 0.0000 x2  2 Na 2.36
Cr: 0.0000 0.0000 0.5000 x1  2 Na 2.15
P: 0.5000 0.5000 0.5000 x1  8 Ta 3.19, 4 Cr 3.34

Calculated values
- Spin magnetization: 0.511 μB/atom
- Relative energy among the computed polymorphs: 963 meV/atom
- Formation enthalpy at 0 K: 2.35 eV/atom
- Electronic total energy: -28.30 eV for the cell shown

=====

No. 2
The following is a PBE-GGA calculation of a relaxed NaTa2CrP crystal, from the Alexandria database.

Cell: 4.5172 4.5172 5.0325 Å, 90.00 90.00 90.00°
Closest atoms and distances in Å follow each position.
Space group P4/mmm (No. 123)
Inequivalent atoms, fractional coordinates:
Na: 0.0000 0.0000 0.0000 x1  2 Cr 2.52
Ta: 0.0000 0.5000 0.5000 x2  2 Cr 2.26
Cr: 0.0000 0.0000 0.5000 x1  4 Ta 2.26, 2 Na 2.52
P: 0.5000 0.5000 0.0000 x1  4 Na 3.19, 8 Ta 3.38

Calculated values
- Spin magnetization: 0.000 μB/atom
- Relative energy among the computed polymorphs: 0 meV/atom
- Formation enthalpy at 0 K: 1.39 eV/atom
- Electronic total energy: -33.12 eV for the cell shown

=====

No. 3
The following is a PBE-GGA calculation of a relaxed NaTaCr2P crystal, from the Alexandria database.

Cell: 4.9432 4.9432 4.8156 Å, 90.00 90.00 90.00°
Closest atoms and distances in Å follow each position.
Space group P4/mmm (No. 123)
Inequivalent atoms, fractional coordinates:
Na: 0.0000 0.0000 0.0000 x1  8 Cr 3.45, 4 P 3.50
Ta: 0.5000 0.5000 0.5000 x1  2 P 2.41, 4 Cr 2.47
Cr: 0.0000 0.5000 0.5000 x2  2 Ta 2.47
P: 0.5000 0.5000 0.0000 x1  2 Ta 2.41

Calculated values
- Spin magnetization: 1.422 μB/atom
- Formation enthalpy at 0 K: 0.96 eV/atom
- Electronic total energy: -33.05 eV for the cell shown

=====

No. 4
The following is a PBE-GGA calculation of a relaxed Na2CrTeP crystal, from the Alexandria database.

Cell: 5.9419 5.9419 4.9394 Å, 90.00 90.00 90.00°
Closest atoms and distances in Å follow each position.
Space group P4/mmm (No. 123)
Inequivalent atoms, fractional coordinates:
Na: 0.0000 0.5000 0.0000 x2  2 Cr 2.97
Cr: 0.0000 0.0000 0.0000 x1  2 Te 2.47
Te: 0.0000 0.0000 0.5000 x1  2 Cr 2.47
P: 0.5000 0.5000 0.5000 x1  8 Na 3.86, 4 Te 4.20

Calculated values
- Spin magnetization: 1.277 μB/atom
- Electronic total energy: -17.55 eV for the cell shown

=====

No. 5
The following is a PBE-GGA calculation of a relaxed NaV2CrP crystal, from the Alexandria database.

Cell: 4.5423 4.5423 4.3239 Å, 90.00 90.00 90.00°
Closest atoms and distances in Å follow each position.
Space group P4/mmm (No. 123)
Inequivalent atoms, fractional coordinates:
Na: 0.0000 0.0000 0.0000 x1  2 Cr 2.16, 4 V 2.27
V: 0.0000 0.5000 0.0000 x2  2 Na 2.27
Cr: 0.0000 0.0000 0.5000 x1  2 Na 2.16
P: 0.5000 0.5000 0.5000 x1  8 V 3.14, 4 Cr 3.21

Calculated values
- Spin magnetization: 0.989 μB/atom
- Formation enthalpy at 0 K: 2.33 eV/atom
- Electronic total energy: -22.95 eV for the cell shown

=====

No. 6
The following is a PBE-GGA calculation of a relaxed NaZnCrP crystal, from the Alexandria database.

Cell: 3.5438 3.5438 11.9991 Å, 90.00 90.00 90.00°
Closest atoms and distances in Å follow each position.
Space group P4/nmm (No. 129, origin choice 2)
Inequivalent atoms, fractional coordinates:
Na: 0.2500 0.2500 0.2421 x2  4 P 2.94
Zn: 0.2500 0.7500 0.0000 x2  4 Zn 2.51
Cr: 0.2500 0.7500 0.5000 x2  4 P 2.36, 4 Cr 2.51
P: 0.2500 0.2500 0.6294 x2  4 Cr 2.36

Calculated values
- Spin magnetization: 0.000 μB/atom
- Formation enthalpy at 0 K: -0.19 eV/atom
- Electronic total energy: -36.74 eV for the cell shown